# 1
The following is a DFT calculation (GGA-PBE) of TaReOs2 after structural relaxation.

Summary:
The value obtained for the formation energy is 14 kJ per mole of atoms. For the theoretical density, the calculation gives 20.03 g/cm3. Its density of states at the Fermi level is 5.3 states/eV/f.u. Its total magnetization is 0.000 μB/atom.

abc: 9.389 9.389 9.389
angles: 17.04 17.04 17.04
Fractional coordinates of all 4 atoms:
Ta 0.251 0.251 0.251
Os 0.751 0.751 0.751
Re 0.495 0.495 0.495
Os 0.003 0.003 0.003

***

# 2
The following is a DFT calculation (GGA-PBE) of Ta2ReOs after structural relaxation.

Summary:
The value obtained for the formation energy is 78 kJ per mole of atoms. For the theoretical density, the calculation gives 17.46 g/cm3. Its density of states at the Fermi level is 3.7 states/eV/f.u. Its total magnetization is 0.000 μB/atom.

abc: 5.827 5.827 5.827
angles: 58.00 152.08 130.26
Fractional coordinates of all 4 atoms:
Ta 0.000 0.743 0.743
Os 0.000 0.500 0.500
Ta 0.000 0.257 0.257
Re 0.000 0.000 0.000

***

# 3
The following is a DFT calculation (GGA-PBE) of TaReOs2 after structural relaxation.

Summary:
The value obtained for the formation energy is 16 kJ per mole of atoms. For the theoretical density, the calculation gives 19.85 g/cm3. Its density of states at the Fermi level is 2.5 states/eV/f.u. Its total magnetization is 0.000 μB/atom.

abc: 5.248 5.248 5.248
angles: 145.25 129.88 62.43
Fractional coordinates of all 4 atoms:
Os 0.017 0.017 0.000
Re 0.487 0.487 0.000
Os 0.743 0.243 0.500
Ta 0.252 0.752 0.500

***

# 4
The following is a DFT calculation (GGA-PBE) of TaRe4Os after structural relaxation.

Summary:
The value obtained for the formation energy is 17 kJ per mole of atoms. For the theoretical density, the calculation gives 19.31 g/cm3. Its density of states at the Fermi level is 4.8 states/eV/f.u. Its total magnetization is 0.000 μB/atom.

abc: 5.139 5.139 5.139
angles: 60.00 60.00 60.00
Fractional coordinates of all 6 atoms:
Ta 0.250 0.250 0.250
Re 0.125 0.625 0.625
Re 0.625 0.625 0.625
Os 0.000 0.000 0.000
Re 0.625 0.125 0.625
Re 0.625 0.625 0.125

***

# 5
The following is a DFT calculation (GGA-PBE) of Ta2ReOs after structural relaxation.

Summary:
The value obtained for the formation energy is 6 kJ per mole of atoms. For the theoretical density, the calculation gives 18.27 g/cm3. Its density of states at the Fermi level is 3.0 states/eV/f.u. Its total magnetization is 0.000 μB/atom.

abc: 8.606 8.606 8.606
angles: 20.30 20.30 20.30
Fractional coordinates of all 4 atoms:
Re 0.750 0.750 0.750
Ta 0.000 0.000 0.000
Ta 0.500 0.500 0.500
Os 0.250 0.250 0.250

***

# 6
The following is a DFT calculation (GGA-PBE) of TaRe2Os after structural relaxation.

Summary:
The value obtained for the formation energy is 0 kJ per mole of atoms. The energy above the most stable polymorph in this dataset comes out at 0.079 eV per formula unit. For the theoretical density, the calculation gives 19.69 g/cm3. Its density of states at the Fermi level is 2.7 states/eV/f.u. Its total magnetization is 0.000 μB/atom.

abc: 2.798 2.798 8.011
angles: 90.00 90.00 90.00
Fractional coordinates of all 4 atoms:
Ta 0.000 0.000 0.504
Os 0.500 0.500 0.768
Re 0.000 0.000 0.994
Re 0.500 0.500 0.233

***

# 7
The following is a DFT calculation (GGA-PBE) of TaReOs2 after structural relaxation.

Summary:
The value obtained for the formation energy is -6 kJ per mole of atoms. For the theoretical density, the calculation gives 20.13 g/cm3. Its density of states at the Fermi level is 3.8 states/eV/f.u. Its total magnetization is 0.000 μB/atom.

abc: 2.816 3.884 5.640
angles: 90.00 90.00 90.00
Fractional coordinates of all 4 atoms:
Os 0.000 0.000 0.012
Os 0.000 0.000 0.488
Ta 0.500 0.500 0.750
Re 0.500 0.500 0.250

***

# 8
The following is a DFT calculation (GGA-PBE) of Ta2ReOs after structural relaxation.

Summary:
The value obtained for the formation energy is -4 kJ per mole of atoms. For the theoretical density, the calculation gives 18.35 g/cm3. Its density of states at the Fermi level is 3.2 states/eV/f.u. Its total magnetization is 0.000 μB/atom.

abc: 2.825 2.825 8.368
angles: 90.00 90.00 90.00
Fractional coordinates of all 4 atoms:
Re 0.500 0.500 0.725
Ta 0.000 0.000 0.987
Ta 0.500 0.500 0.268
Os 0.000 0.000 0.519

***

# 9
The following is a DFT calculation (GGA-PBE) of TaRe2Os after structural relaxation.

Summary:
The value obtained for the formation energy is -2 kJ per mole of atoms. The energy above the most stable polymorph in this dataset comes out at 0.000 eV per formula unit. For the theoretical density, the calculation gives 19.82 g/cm3. Its density of states at the Fermi level is 3.8 states/eV/f.u. Its total magnetization is 0.000 μB/atom.

abc: 3.994 3.949 3.949
angles: 90.00 90.00 90.00
Fractional coordinates of all 4 atoms:
Ta 0.500 0.500 0.000
Re 0.000 0.500 0.500
Re 0.000 0.000 0.000
Os 0.500 0.000 0.500

***

# 10
The following is a DFT calculation (GGA-PBE) of Ta2ReOs after structural relaxation.

Summary:
The value obtained for the formation energy is -11 kJ per mole of atoms. For the theoretical density, the calculation gives 18.82 g/cm3. Its density of states at the Fermi level is 3.4 states/eV/f.u. Its total magnetization is 0.000 μB/atom.

abc: 5.234 5.234 5.234
angles: 144.67 127.27 65.08
Fractional coordinates of all 4 atoms:
Ta 0.499 0.499 0.000
Re 0.250 0.750 0.500
Os 0.750 0.250 0.500
Ta 0.001 0.001 0.000

***

# 11
The following is a DFT calculation (GGA-PBE) of TaRe3Os after structural relaxation.

Summary:
The value obtained for the formation energy is 198 kJ per mole of atoms. The energy above the most stable polymorph in this dataset comes out at 0.000 eV per formula unit. For the theoretical density, the calculation gives 15.32 g/cm3. Its density of states at the Fermi level is 5.0 states/eV/f.u. Its total magnetization is 0.000 μB/atom.

abc: 4.653 4.653 4.653
angles: 90.00 90.00 90.00
Fractional coordinates of all 5 atoms:
Os 0.000 0.000 0.000
Re 0.500 0.000 0.000
Re 0.000 0.000 0.500
Re 0.000 0.500 0.000
Ta 0.500 0.500 0.500

***

# 12
The following is a DFT calculation (GGA-PBE) of Ta2ReOs after structural relaxation.

Summary:
The value obtained for the formation energy is -8 kJ per mole of atoms. For the theoretical density, the calculation gives 18.68 g/cm3. Its density of states at the Fermi level is 2.6 states/eV/f.u. Its total magnetization is 0.000 μB/atom.

abc: 3.192 3.192 6.440
angles: 90.00 90.00 90.00
Fractional coordinates of all 4 atoms:
Os 0.000 0.000 0.491
Ta 0.500 0.500 0.260
Re 0.500 0.500 0.761
Ta 0.000 0.000 0.988

***

What did the fifth record say?
The following is a DFT calculation (GGA-PBE) of Ta2ReOs after structural relaxation.

Summary:
The value obtained for the formation energy is 6 kJ per mole of atoms. For the theoretical density, the calculation gives 18.27 g/cm3. Its density of states at the Fermi level is 3.0 states/eV/f.u. Its total magnetization is 0.000 μB/atom.

abc: 8.606 8.606 8.606
angles: 20.30 20.30 20.30
Fractional coordinates of all 4 atoms:
Re 0.750 0.750 0.750
Ta 0.000 0.000 0.000
Ta 0.500 0.500 0.500
Os 0.250 0.250 0.250